A geometry-optimized CaGdSb2 structure. Source: Alexandria, functional PBE.

Geometry as CIF:
```
data_CaGdSb2
_chemical_formula_sum 'Ca1 Gd1 Sb2'
_cell_length_a 8.0113
_cell_length_b 8.0113
_cell_length_c 8.0113
_cell_angle_alpha 31.86
_cell_angle_beta 31.86
_cell_angle_gamma 31.86
_space_group_name_H-M_alt 'P 1'
_space_group_IT_number 1
loop_
_space_group_symop_operation_xyz
'x,y,z'
loop_
_atom_site_label
_atom_site_type_symbol
_atom_site_fract_x
_atom_site_fract_y
_atom_site_fract_z
Ca1 Ca 0.0000 0.0000 0.0000
Gd1 Gd 0.5000 0.5000 0.5000
Sb1 Sb 0.2467 0.2467 0.2467
Sb2 Sb 0.7533 0.7533 0.7533
```

Results
D(E_F): 2.74 states/eV/f.u.
Total magnetic moment: 6.8 μB per cell
Formation energy without anion corrections: -0.935 eV/atom
Electronic total energy: -7.02 eV per atom
Energy above the lowest structure with this stoichiometry: 0.0000 eV per atom

A geometry-optimized CsCrGeMo2 structure. Source: Alexandria, functional PBE.

Geometry as CIF:
```
data_CsCrGeMo2
_chemical_formula_sum 'Cs1 Cr1 Ge1 Mo2'
_cell_length_a 4.8171
_cell_length_b 4.8171
_cell_length_c 5.8928
_cell_angle_alpha 90.00
_cell_angle_beta 90.00
_cell_angle_gamma 90.00
_space_group_name_H-M_alt 'P 1'
_space_group_IT_number 1
loop_
_space_group_symop_operation_xyz
'x,y,z'
loop_
_atom_site_label
_atom_site_type_symbol
_atom_site_fract_x
_atom_site_fract_y
_atom_site_fract_z
Cs1 Cs 0.0000 0.0000 0.0000
Cr1 Cr 0.5000 0.5000 0.0000
Ge1 Ge 0.0000 0.0000 0.5000
Mo1 Mo 0.0000 0.5000 0.5000
Mo2 Mo 0.5000 0.0000 0.5000
```

Results
D(E_F): 5.22 states/eV/f.u.
Total magnetic moment: 3.1 μB per cell
E_form: 54.76 kcal/mol of atoms
Electronic total energy: -4.98 eV per atom

A geometry-optimized Y2CuSn2 structure. Source: Alexandria, functional PBE.

Geometry as CIF:
```
data_Y2CuSn2
_chemical_formula_sum 'Y4 Cu2 Sn4'
_cell_length_a 7.7052
_cell_length_b 7.7052
_cell_length_c 4.5505
_cell_angle_alpha 90.00
_cell_angle_beta 90.00
_cell_angle_gamma 90.00
_space_group_name_H-M_alt 'P 1'
_space_group_IT_number 1
loop_
_space_group_symop_operation_xyz
'x,y,z'
loop_
_atom_site_label
_atom_site_type_symbol
_atom_site_fract_x
_atom_site_fract_y
_atom_site_fract_z
Y1 Y 0.1702 0.3298 0.0000
Y2 Y 0.3298 0.8298 0.0000
Y3 Y 0.6702 0.1702 0.0000
Y4 Y 0.8298 0.6702 0.0000
Cu1 Cu 0.0000 0.0000 0.0000
Cu2 Cu 0.5000 0.5000 0.0000
Sn1 Sn 0.1348 0.6348 0.5000
Sn2 Sn 0.3652 0.1348 0.5000
Sn3 Sn 0.6348 0.8652 0.5000
Sn4 Sn 0.8652 0.3652 0.5000
```

Results
D(E_F): 3.43 states/eV/f.u.
Total magnetic moment: 0.0 μB per cell
E_form: -7.02 kcal/mol of atoms
Electronic total energy: -5.31 eV per atom
Energy above the lowest structure with this stoichiometry: 0.2173 eV per atom

A geometry-optimized SmPuInRu structure. Source: Alexandria, functional PBE.

Geometry as CIF:
```
data_SmPuInRu
_chemical_formula_sum 'Sm1 Pu1 In1 Ru1'
_cell_length_a 3.3547
_cell_length_b 3.3547
_cell_length_c 8.4614
_cell_angle_alpha 90.00
_cell_angle_beta 90.00
_cell_angle_gamma 90.00
_space_group_name_H-M_alt 'P 1'
_space_group_IT_number 1
loop_
_space_group_symop_operation_xyz
'x,y,z'
loop_
_atom_site_label
_atom_site_type_symbol
_atom_site_fract_x
_atom_site_fract_y
_atom_site_fract_z
Sm1 Sm 0.0000 0.0000 0.0000
Pu1 Pu 0.0000 0.0000 0.5871
In1 In 0.5000 0.5000 0.2972
Ru1 Ru 0.5000 0.5000 0.7820
```

Results
D(E_F): 7.45 states/eV/f.u.
Total magnetic moment: 4.6 μB per cell
E_form: -5.74 kcal/mol of atoms
Electronic total energy: -8.02 eV per atom
Energy above the lowest structure with this stoichiometry: 0.0000 eV per atom

A geometry-optimized FeCoW2 structure. Source: Alexandria, functional PBE.

Geometry as CIF:
```
data_FeCoW2
_chemical_formula_sum 'Fe1 Co1 W2'
_cell_length_a 4.5873
_cell_length_b 4.5873
_cell_length_c 4.5669
_cell_angle_alpha 99.88
_cell_angle_beta 99.88
_cell_angle_gamma 34.36
_space_group_name_H-M_alt 'P 1'
_space_group_IT_number 1
loop_
_space_group_symop_operation_xyz
'x,y,z'
loop_
_atom_site_label
_atom_site_type_symbol
_atom_site_fract_x
_atom_site_fract_y
_atom_site_fract_z
Fe1 Fe 0.0000 0.0000 0.0000
Co1 Co 0.2669 0.2669 0.7140
W1 W 0.5198 0.5198 0.5245
W2 W 0.7497 0.7497 0.1946
```

Results
D(E_F): 4.36 states/eV/f.u.
Total magnetic moment: 0.0 μB per cell
E_form: 3.70 kcal/mol of atoms
Electronic total energy: -10.21 eV per atom
Energy above the lowest structure with this stoichiometry: 0.0619 eV per atom

A geometry-optimized HfIn3Hg2Br6 structure. Source: Alexandria, functional PBE.

Geometry as CIF:
```
data_HfIn3Hg2Br6
_chemical_formula_sum 'Hf1 In3 Hg2 Br6'
_cell_length_a 9.1288
_cell_length_b 9.1288
_cell_length_c 7.1621
_cell_angle_alpha 92.06
_cell_angle_beta 92.06
_cell_angle_gamma 51.49
_space_group_name_H-M_alt 'P 1'
_space_group_IT_number 1
loop_
_space_group_symop_operation_xyz
'x,y,z'
loop_
_atom_site_label
_atom_site_type_symbol
_atom_site_fract_x
_atom_site_fract_y
_atom_site_fract_z
Hf1 Hf 0.0000 0.0000 0.0000
In1 In 0.0000 0.5000 0.0000
In2 In 0.5000 0.0000 0.0000
In3 In 0.5000 0.5000 0.5000
Hg1 Hg 0.3473 0.3473 0.2595
Hg2 Hg 0.6527 0.6527 0.7405
Br1 Br 0.1182 0.1182 0.7641
Br2 Br 0.1559 0.6893 0.8003
Br3 Br 0.3107 0.8441 0.1997
Br4 Br 0.6893 0.1559 0.8003
Br5 Br 0.8441 0.3107 0.1997
Br6 Br 0.8818 0.8818 0.2359
```

Results
D(E_F): 2.89 states/eV/f.u.
Total magnetic moment: 0.0 μB per cell
Formation energy without anion corrections: -0.752 eV/atom
Electronic total energy: -3.15 eV per atom

> D(E_F) of number 6 (HfIn3Hg2Br6)?

2.89 states/eV/f.u.

> D(E_F) of number 1 (CaGdSb2)?

2.74 states/eV/f.u.